10
Lattice="6.856 0.000 0.000 0.000 6.856 0.000 0.000 0.000 4.440" Properties=species:S:1:pos:R:3 comment="Hf2TcSb2 | Alexandria | PBE-GGA | relaxed" formation_energy_uncorrected_ev_per_fu=-0.6 magnetic_moment_mub_per_atom=0.000 density_g_cm3=11.11 n_ef_per_ev_atom=0.6155 pbc="T T T"
Hf 1.096 2.332 0.000
Hf 2.332 5.760 0.000
Hf 4.525 1.096 0.000
Hf 5.760 4.525 0.000
Tc 0.000 0.000 2.220
Tc 3.428 3.428 2.220
Sb 1.025 4.453 2.220
Sb 2.403 1.025 2.220
Sb 4.453 5.831 2.220
Sb 5.831 2.403 2.220